[1]
The following is a PBE calculation of a relaxed SiSbCI2 crystal, from the Alexandria database.

For the calculated volume, the calculation gives 120.2 Å³/f.u. Its distance to the lowest polymorph of the same formula is 0.0000 eV per atom. The calculation puts the density of states at the Fermi level at 1.92 states/eV/f.u. The uncorrected formation energy comes out at 1.3464 eV per atom. The value obtained for the theoretical density is 5.74 g/cm3.

The space group is P4/mmm (No. 123) and the conventional cell measures 5.024, 5.024 and 4.764 Å, with angles of 90.00, 90.00 and 90.00 degrees. The asymmetric unit holds Si at (0.000, 0.000, 0.000), Sb at (0.500, 0.500, 0.000), C at (0.500, 0.500, 0.500) and I at (0.000, 0.500, 0.500).

[2]
The following is a PBE calculation of a relaxed SrSbCI2 crystal, from the Alexandria database.

For the calculated volume, the calculation gives 137.1 Å³/f.u. Its distance to the lowest polymorph of the same formula is 0.0000 eV per atom. The calculation puts the density of states at the Fermi level at 3.50 states/eV/f.u. The uncorrected formation energy comes out at 0.3916 eV per atom. The value obtained for the theoretical density is 5.75 g/cm3.

The space group is P4/mmm (No. 123) and the conventional cell measures 5.262, 5.262 and 4.953 Å, with angles of 90.00, 90.00 and 90.00 degrees. The asymmetric unit holds Sr at (0.000, 0.000, 0.000), Sb at (0.500, 0.500, 0.000), C at (0.500, 0.500, 0.500) and I at (0.000, 0.500, 0.500).

[3]
The following is a PBE calculation of a relaxed SrSbCI2 crystal, from the Alexandria database.

For the calculated volume, the calculation gives 272.5 Å³/f.u. Its distance to the lowest polymorph of the same formula is 0.8291 eV per atom. The calculation puts the density of states at the Fermi level at 10.72 states/eV/f.u. The uncorrected formation energy comes out at 1.2207 eV per atom. The value obtained for the theoretical density is 2.90 g/cm3.

The space group is P4/mmm (No. 123) and the conventional cell measures 6.319, 6.319 and 6.825 Å, with angles of 90.00, 90.00 and 90.00 degrees. The asymmetric unit holds Sr at (0.000, 0.000, 0.000), Sb at (0.000, 0.000, 0.500), C at (0.500, 0.500, 0.500) and I at (0.000, 0.500, 0.000).

[4]
The following is a PBE calculation of a relaxed TcSb2CI crystal, from the Alexandria database.

For the calculated volume, the calculation gives 147.5 Å³/f.u. Its distance to the lowest polymorph of the same formula is 0.2249 eV per atom. The calculation puts the density of states at the Fermi level at 5.33 states/eV/f.u. The uncorrected formation energy comes out at 1.7498 eV per atom. The value obtained for the theoretical density is 5.41 g/cm3.

The space group is P4/mmm (No. 123) and the conventional cell measures 5.053, 5.053 and 5.777 Å, with angles of 90.00, 90.00 and 90.00 degrees. The asymmetric unit holds Tc at (0.000, 0.000, 0.000), Sb at (0.000, 0.500, 0.000), C at (0.500, 0.500, 0.500) and I at (0.000, 0.000, 0.500).

[5]
The following is a PBE calculation of a relaxed TcSbCI2 crystal, from the Alexandria database.

For the calculated volume, the calculation gives 105.9 Å³/f.u. Its distance to the lowest polymorph of the same formula is 0.0000 eV per atom. The calculation puts the density of states at the Fermi level at 3.48 states/eV/f.u. The uncorrected formation energy comes out at 1.7703 eV per atom. The value obtained for the theoretical density is 7.61 g/cm3.

The space group is P4/mmm (No. 123) and the conventional cell measures 4.800, 4.800 and 4.597 Å, with angles of 90.00, 90.00 and 90.00 degrees. The asymmetric unit holds Tc at (0.000, 0.000, 0.000), Sb at (0.500, 0.500, 0.000), C at (0.500, 0.500, 0.500) and I at (0.000, 0.500, 0.500).

[6]
The following is a PBE calculation of a relaxed TcSb2CI crystal, from the Alexandria database.

For the calculated volume, the calculation gives 100.9 Å³/f.u. Its distance to the lowest polymorph of the same formula is 0.0000 eV per atom. The calculation puts the density of states at the Fermi level at 5.20 states/eV/f.u. The uncorrected formation energy comes out at 1.5249 eV per atom. The value obtained for the theoretical density is 7.91 g/cm3.

The space group is P4/mmm (No. 123) and the conventional cell measures 4.582, 4.582 and 4.806 Å, with angles of 90.00, 90.00 and 90.00 degrees. The asymmetric unit holds Tc at (0.000, 0.000, 0.000), Sb at (0.000, 0.500, 0.500), C at (0.500, 0.500, 0.500) and I at (0.500, 0.500, 0.000).

Question: Which of these has the highest theoretical density?
Answer: number 6

Question: Which value of distance to the lowest polymorph of the same formula does entry 4 give?
Answer: 0.2249 eV per atom

Question: Number 5 is which compound?
Answer: TcSbCI2